Tb5Pr after structural relaxation. Source: Alexandria via LeMat-Bulk, functional PBE.

a b c (Å): 5.0724 5.0670 8.0237
angles (deg): 108.41 90.00 90.00
Fractional coordinates of all 6 atoms:
Tb1 0.5000 0.5000 0.0000
Tb2 0.5000 0.8327 0.6654
Tb3 0.0000 0.6680 0.3360
Tb4 0.5000 0.1673 0.3346
Pr1 0.0000 0.0000 0.0000
Tb5 0.0000 0.3320 0.6640

Output
VASP energy (eV for the cell shown): -27.8
ΔH_f (0 K) (eV per atom): 0.018
Theoretical density (g/cm3): 7.94
ΔE to the lowest computed polymorph (eV/f.u.): 0.018